1.
# HoEr2In3Pd3 (GGA-PBE, optimized geometry)
data_HoEr2In3Pd3
_symmetry_space_group_name_H-M 'A m m 2'
_symmetry_Int_Tables_number 38
_cell_length_a 3.794
_cell_length_b 13.328
_cell_length_c 7.689
_cell_angle_alpha 90.00
_cell_angle_beta 90.00
_cell_angle_gamma 90.00
loop_
_symmetry_equiv_pos_as_xyz
'x,y,z'
'-x,-y,z'
'-x,y,z'
'x,-y,z'
'x,y+1/2,z+1/2'
'-x,-y+1/2,z+1/2'
'-x,y+1/2,z+1/2'
'x,-y+1/2,z+1/2'
loop_
_atom_site_label
_atom_site_type_symbol
_atom_site_fract_x
_atom_site_fract_y
_atom_site_fract_z
Ho1 Ho 0.000 0.000 0.000
Er1 Er 0.000 0.204 0.611
In1 In 0.500 0.000 0.669
In2 In 0.500 0.131 0.277
Pd1 Pd 0.000 0.000 0.408
Pd2 Pd 0.500 0.167 0.907
# **Energy**: -4.980 eV per atom

=====

2.
# PmCd2Fe (GGA-PBE, optimized geometry)
data_PmCd2Fe
_symmetry_space_group_name_H-M 'P 63/m m c'
_symmetry_Int_Tables_number 194
_symmetry_space_group_name_Hall '-P 6c 2c'
_cell_length_a 3.5104
_cell_length_b 3.5104
_cell_length_c 17.3725
_cell_angle_alpha 90.00
_cell_angle_beta 90.00
_cell_angle_gamma 120.00
loop_
_atom_site_label
_atom_site_type_symbol
_atom_site_fract_x
_atom_site_fract_y
_atom_site_fract_z
Pm1 Pm 0.0000 0.0000 0.0000
Cd1 Cd 0.3333 0.6667 0.1474
Fe1 Fe 0.3333 0.6667 0.7500
# **Formation enthalpy at 0 K**: 0.3445 eV/atom

=====

3.
# PrMgAs (GGA-PBE, optimized geometry)
data_PrMgAs
_symmetry_space_group_name_H-M 'F -4 3 m'
_symmetry_Int_Tables_number 216
_symmetry_space_group_name_Hall 'F -4 2 3'
_cell_length_a 7.105
_cell_length_b 7.105
_cell_length_c 7.105
_cell_angle_alpha 90.00
_cell_angle_beta 90.00
_cell_angle_gamma 90.00
loop_
_atom_site_label
_atom_site_type_symbol
_atom_site_fract_x
_atom_site_fract_y
_atom_site_fract_z
Pr1 Pr 0.000 0.000 0.000
Mg1 Mg 0.250 0.250 0.250
As1 As 0.250 0.250 0.750
# **Offset from the most stable computed form**: 0 meV per atom

=====

4.
# Sc2Si2Tc (GGA-PBE, optimized geometry)
data_Sc2Si2Tc
_symmetry_space_group_name_H-M 'I 4/m m m'
_symmetry_Int_Tables_number 139
_symmetry_space_group_name_Hall '-I 4 2'
_cell_length_a 3.389
_cell_length_b 3.389
_cell_length_c 15.701
_cell_angle_alpha 90.00
_cell_angle_beta 90.00
_cell_angle_gamma 90.00
loop_
_atom_site_label
_atom_site_type_symbol
_atom_site_fract_x
_atom_site_fract_y
_atom_site_fract_z
Sc1 Sc 0.000 0.000 0.098
Si1 Si 0.000 0.500 0.250
Tc1 Tc 0.000 0.000 0.500
# **Offset from the most stable computed form**: 676 meV per atom

=====

5.
# HoErZn4 (GGA-PBE, optimized geometry)
data_HoErZn4
_symmetry_space_group_name_H-M 'P 1 2/m 1'
_symmetry_Int_Tables_number 10
_cell_length_a 3.452
_cell_length_b 4.448
_cell_length_c 7.695
_cell_angle_alpha 90.00
_cell_angle_beta 90.00
_cell_angle_gamma 90.00
loop_
_symmetry_equiv_pos_as_xyz
'x,y,z'
'-x,-y,-z'
'-x,y,-z'
'x,-y,z'
loop_
_atom_site_label
_atom_site_type_symbol
_atom_site_fract_x
_atom_site_fract_y
_atom_site_fract_z
Ho1 Ho 0.000 0.000 0.000
Er1 Er 0.000 0.500 0.500
Zn1 Zn 0.498 0.000 0.334
Zn2 Zn 0.498 0.500 0.833
# **Offset from the most stable computed form**: 7 meV per atom
# **Formation enthalpy at 0 K**: -0.3861 eV/atom

=====

6.
# YErGa2Fe4 (GGA-PBE, optimized geometry)
data_YErGa2Fe4
_symmetry_space_group_name_H-M 'P -6 m 2'
_symmetry_Int_Tables_number 187
_symmetry_space_group_name_Hall 'P -6 2'
_cell_length_a 4.1857
_cell_length_b 4.1857
_cell_length_c 9.2627
_cell_angle_alpha 90.00
_cell_angle_beta 90.00
_cell_angle_gamma 120.00
loop_
_atom_site_label
_atom_site_type_symbol
_atom_site_fract_x
_atom_site_fract_y
_atom_site_fract_z
Y1 Y 0.0000 0.0000 0.0000
Er1 Er 0.6667 0.3333 0.5000
Ga1 Ga 0.3333 0.6667 0.2516
Fe1 Fe 0.0000 0.0000 0.2960
Fe2 Fe 0.6667 0.3333 0.2112
# **Energy**: -6.468 eV per atom